No. 1
First-principles (PBE-GGA) data for a relaxed structure of LuBe13, as listed in OQMD.

The value obtained for the magnetic moment is 0.00 μB per formula unit. The space group is Fm-3c.

Unit cell a=7.152 b=7.152 c=7.152 alpha=120.00 beta=90.00 gamma=120.00
Fractional coordinates of all 28 atoms:
Be: 0.000 0.000 0.000
Be: 0.709 0.000 0.062
Be: 0.062 0.771 0.062
Be: 0.291 0.354 0.062
Be: 0.562 0.771 0.209
Be: 0.438 0.000 0.209
Be: 0.209 0.646 0.209
Be: 0.938 0.000 0.291
Be: 0.291 0.229 0.291
Be: 0.062 0.354 0.291
Be: 0.791 0.229 0.438
Be: 0.209 0.000 0.438
Be: 0.438 0.646 0.438
Be: 0.500 0.000 0.500
Be: 0.791 0.000 0.562
Be: 0.562 0.354 0.562
Be: 0.209 0.771 0.562
Be: 0.062 0.000 0.709
Be: 0.938 0.646 0.709
Be: 0.709 0.771 0.709
Be: 0.562 0.000 0.791
Be: 0.791 0.354 0.791
Be: 0.438 0.229 0.791
Be: 0.291 0.000 0.938
Be: 0.709 0.646 0.938
Be: 0.938 0.229 0.938
Lu: 0.750 0.500 0.250
Lu: 0.250 0.500 0.750

---

No. 2
First-principles (PBE-GGA) data for a relaxed structure of Lu2Be, as listed in OQMD.

The value obtained for the magnetic moment is 0.00 μB per formula unit. The space group is Fd-3m.

Unit cell a=5.979 b=5.979 c=5.979 alpha=60.00 beta=60.00 gamma=60.00
Fractional coordinates of all 6 atoms:
Be: 0.000 0.000 0.000
Be: 0.250 0.250 0.250
Lu: 0.625 0.625 0.125
Lu: 0.625 0.125 0.625
Lu: 0.125 0.625 0.625
Lu: 0.625 0.625 0.625

---

No. 3
First-principles (PBE-GGA) data for a relaxed structure of LuBe, as listed in OQMD.

The value obtained for the magnetic moment is 0.00 μB per formula unit. The space group is P-6m2.

Unit cell a=3.359 b=3.359 c=4.236 alpha=90.00 beta=90.00 gamma=120.00
Fractional coordinates of all 2 atoms:
Be: 0.667 0.333 0.750
Lu: 0.333 0.667 0.250

---

No. 4
First-principles (PBE-GGA) data for a relaxed structure of LuMgBe, as listed in OQMD.

The value obtained for the magnetic moment is 0.03 μB per formula unit. The space group is F-43m.

Unit cell a=4.735 b=4.735 c=4.735 alpha=60.00 beta=60.00 gamma=60.00
Fractional coordinates of all 3 atoms:
Be: 0.250 0.250 0.250
Lu: 0.000 0.000 0.000
Mg: 0.750 0.750 0.750

---

No. 5
First-principles (PBE-GGA) data for a relaxed structure of LuMg2Be, as listed in OQMD.

The value obtained for the magnetic moment is 0.00 μB per formula unit. The space group is F-43m.

Unit cell a=4.817 b=4.817 c=4.817 alpha=60.00 beta=60.00 gamma=60.00
Fractional coordinates of all 4 atoms:
Be: 0.500 0.500 0.500
Lu: 0.250 0.250 0.250
Mg: 0.000 0.000 0.000
Mg: 0.750 0.750 0.750

---

No. 6
First-principles (PBE-GGA) data for a relaxed structure of LuMgBe, as listed in OQMD.

The value obtained for the magnetic moment is 0.98 μB per formula unit. The space group is F-43m.

Unit cell a=4.515 b=4.515 c=4.515 alpha=60.00 beta=60.00 gamma=60.00
Fractional coordinates of all 3 atoms:
Be: 0.000 0.000 0.000
Lu: 0.250 0.250 0.250
Mg: 0.750 0.750 0.750

---

Number 1: total energy -3.988 eV/atom. Number 2: total energy -3.293 eV/atom. Number 3: total energy -3.614 eV/atom. Number 4: total energy -2.348 eV/atom. Number 5: total energy -2.706 eV/atom. Number 6: total energy -3.012 eV/atom.